No. 1
Here is an optimized crystal structure of NaPmMgPt from Alexandria via LeMat-Bulk. Energies are from PBE.

Computed properties:
The density of states at the Fermi level is 1.090 states/eV per atom. For the total energy, the calculation gives -3.8404 eV per atom.

a b c (Å): 4.9951 4.9951 4.9951
angles (deg): 60.00 60.00 60.00
Last column: nearest neighbours and their distance in Å.
Positions (direct):
Na 0.7500 0.7500 0.7500  4 Mg 3.06, 4 Pm 3.06
Mg 0.5000 0.5000 0.5000  4 Na 3.06, 4 Pt 3.06
Pt 0.2500 0.2500 0.2500  4 Pm 3.06, 4 Mg 3.06
Pm 0.0000 0.0000 0.0000  4 Na 3.06, 4 Pt 3.06

***

No. 2
Here is an optimized crystal structure of NaPm2MgSe4 from Alexandria via LeMat-Bulk. Energies are from PBE.

Computed properties:
The density of states at the Fermi level is 0.374 states/eV per atom. As for the uncorrected formation energy: -1.557 eV/atom. For the total energy, the calculation gives -4.8510 eV per atom.

a b c (Å): 4.1082 7.2015 7.1563
angles (deg): 71.21 90.00 90.00
Last column: nearest neighbours and their distance in Å.
Positions (direct):
Na 0.5000 0.5000 0.0000  6 Se 2.90-2.93
Pm 0.0000 0.0000 0.0000  6 Se 3.00-3.02
Pm 0.5000 0.0000 0.5000  6 Se 2.93-2.94
Mg 0.0000 0.5000 0.5000  6 Se 2.84
Se 0.0000 0.7435 0.7423  1 Mg 2.84, 3 Pm 2.93-3.00, 2 Na 2.93
Se 0.0000 0.2565 0.2577  1 Mg 2.84, 3 Pm 2.93-3.00, 2 Na 2.93
Se 0.5000 0.7336 0.2633  2 Mg 2.84, 1 Na 2.90, 3 Pm 2.94-3.02
Se 0.5000 0.2664 0.7367  2 Mg 2.84, 1 Na 2.90, 3 Pm 2.94-3.02

***

No. 3
Here is an optimized crystal structure of NaPmMg2Sn2 from Alexandria via LeMat-Bulk. Energies are from PBE.

Computed properties:
The density of states at the Fermi level is 0.270 states/eV per atom. For the total energy, the calculation gives -3.2856 eV per atom.

a b c (Å): 4.8932 4.8932 7.3883
angles (deg): 90.00 90.00 120.00
Last column: nearest neighbours and their distance in Å.
Positions (direct):
Na 0.0000 0.0000 0.0000  6 Mg 3.12, 6 Sn 3.42
Pm 0.0000 0.0000 0.5000  6 Sn 3.33, 6 Mg 3.68, 2 Na 3.69
Mg 0.3333 0.6667 0.8193  3 Sn 2.89, 3 Na 3.12
Mg 0.6667 0.3333 0.1807  3 Sn 2.89, 3 Na 3.12
Sn 0.3333 0.6667 0.2614  3 Mg 2.89
Sn 0.6667 0.3333 0.7386  3 Mg 2.89